Record 1
This record from the Alexandria database describes a geometry-optimized HgTeRh structure. The functional is PBE.

```
HgTeRh
1.0
3.5812 0.0000 0.0000
-1.7906 3.1014 0.0000
0.0000 0.0000 6.2707
Hg Te Rh
1 1 1
Cartesian
0.0000 0.0000 0.0000 Hg
0.0000 2.0676 3.5443 Te
1.7906 1.0338 2.0180 Rh
```

Calculated values
* total moment: 0.0 μB/f.u.
* raw total energy: -11.12 eV/f.u.
* space-group type: P3m1
* energy relative to the lowest polymorph listed for this composition: 23 meV per atom
* ΔE_f (raw): -0.33 eV/f.u.

Record 2
This record from the Alexandria database describes a geometry-optimized InFeCo4 structure. The functional is PBE.

```
InFeCo4
1.0
0.0000 3.3763 3.3763
3.3763 0.0000 3.3763
3.3763 3.3763 0.0000
In Fe Co
1 1 4
Cartesian
0.0000 0.0000 0.0000 In
1.6881 1.6881 1.6881 Fe
4.2179 2.5347 2.5347 Co
2.5347 4.2179 2.5347 Co
2.5347 2.5347 4.2179 Co
4.2179 4.2179 4.2179 Co
```

Calculated values
* total moment: 8.9 μB/f.u.
* E_form: 118 meV/atom
* raw total energy: -38.92 eV/f.u.
* space-group type: F-43m

Record 3
This record from the Alexandria database describes a geometry-optimized Zr2AlAu structure. The functional is PBE.

```
Zr2AlAu
1.0
3.2535 0.0000 0.0000
0.0000 3.9464 0.0000
0.0000 0.0000 6.2241
Zr Al Au
2 1 1
Cartesian
0.0000 0.0000 0.0000 Zr
1.6267 1.9732 1.7213 Zr
0.0000 0.0000 3.1792 Al
1.6267 1.9732 4.6499 Au
```

Calculated values
* total moment: 0.0 μB/f.u.
* E_form: -325 meV/atom
* raw total energy: -25.42 eV/f.u.
* space-group type: Pmm2

Record 4
This record from the Alexandria database describes a geometry-optimized Tm4RuPt2 structure. The functional is PBE.

```
Tm4RuPt2
1.0
4.7665 0.0000 0.0000
0.0000 4.7665 0.0000
0.0000 0.0000 6.9253
Tm Ru Pt
4 1 2
Cartesian
0.0000 2.3833 1.6954 Tm
0.0000 2.3833 5.2298 Tm
2.3833 0.0000 1.6954 Tm
2.3833 0.0000 5.2298 Tm
0.0000 0.0000 0.0000 Ru
0.0000 0.0000 3.4626 Pt
2.3833 2.3833 0.0000 Pt
```

Calculated values
* total moment: 0.0 μB/f.u.
* E_form: -887 meV/atom
* raw total energy: -45.45 eV/f.u.
* space-group type: P4/mmm